Material: AlCo4Pb
Method: DFT, PBEsol
State: relaxed

Results
N(E_F): 9.1 states/eV/f.u.
Total moment: 4.65 μB/f.u.
Theoretical density: 10.00 g/cm3
Formation energy: 0.211 eV/atom
Space group: F-43m (216)

a = 4.7964 Å, b = 4.7964 Å, c = 4.7964 Å
α = 60.00°, β = 60.00°, γ = 60.00°
Last column: nearest neighbours and their distance in Å.
Sites, in units of the cell vectors:
Al  0.0000  0.0000  0.0000  12 Co 2.81, 4 Pb 2.94
Co  0.1224  0.6259  0.6259  6 Co 2.38-2.41
Co  0.6259  0.1224  0.6259  6 Co 2.38-2.41
Co  0.6259  0.6259  0.1224  6 Co 2.38-2.41
Co  0.6259  0.6259  0.6259  6 Co 2.38-2.41
Pb  0.2500  0.2500  0.2500  12 Co 2.81, 4 Al 2.94